# PBE NaTeSe3, relaxed
data_NaTeSe3
_cell_length_a 5.496
_cell_length_b 8.304
_cell_length_c 7.802
_cell_angle_alpha 108.12
_cell_angle_beta 90.01
_cell_angle_gamma 109.33
_symmetry_space_group_name_H-M 'P 1'
_symmetry_Int_Tables_number 1
loop_
_symmetry_equiv_pos_as_xyz
'x,y,z'
loop_
_atom_site_label
_atom_site_type_symbol
_atom_site_fract_x
_atom_site_fract_y
_atom_site_fract_z
Na1 Na 0.374 0.749 0.665
Na2 Na 0.626 0.251 0.335
Te1 Te 0.159 0.317 0.878
Te2 Te 0.841 0.683 0.122
Se1 Se 0.161 0.322 0.559
Se2 Se 0.653 0.305 0.955
Se3 Se 0.029 0.059 0.167
Se4 Se 0.839 0.678 0.441
Se5 Se 0.971 0.941 0.833
Se6 Se 0.347 0.695 0.045
# Space-group type = C2/m (12)
# Polymorph energy (0 for the lowest one) = 0.000 eV/atom
# Calculated total energy = -3.2832 eV/atom
# ΔE_f (raw) = -0.30 eV/atom

=====

# PBE Na5TeSe6, relaxed
data_Na5TeSe6
_cell_length_a 7.212
_cell_length_b 7.362
_cell_length_c 7.432
_cell_angle_alpha 60.31
_cell_angle_beta 79.73
_cell_angle_gamma 68.90
_symmetry_space_group_name_H-M 'P 1'
_symmetry_Int_Tables_number 1
loop_
_symmetry_equiv_pos_as_xyz
'x,y,z'
loop_
_atom_site_label
_atom_site_type_symbol
_atom_site_fract_x
_atom_site_fract_y
_atom_site_fract_z
Na1 Na 0.500 0.163 0.674
Na2 Na 0.000 0.329 0.343
Na3 Na 0.500 0.500 0.000
Na4 Na 0.000 0.671 0.657
Na5 Na 0.500 0.837 0.326
Te1 Te 0.000 0.000 0.000
Se1 Se 0.764 0.078 0.297
Se2 Se 0.236 0.626 0.297
Se3 Se 0.216 0.228 0.000
Se4 Se 0.784 0.772 0.000
Se5 Se 0.764 0.374 0.703
Se6 Se 0.236 0.922 0.703
# Space-group type = C2/m (12)
# Calculated total energy = -3.1125 eV/atom
# ΔE_f (raw) = -0.56 eV/atom

=====

# PBE Na3TeSe, relaxed
data_Na3TeSe
_cell_length_a 7.673
_cell_length_b 9.467
_cell_length_c 7.928
_cell_angle_alpha 112.27
_cell_angle_beta 118.61
_cell_angle_gamma 116.39
_symmetry_space_group_name_H-M 'P 1'
_symmetry_Int_Tables_number 1
loop_
_symmetry_equiv_pos_as_xyz
'x,y,z'
loop_
_atom_site_label
_atom_site_type_symbol
_atom_site_fract_x
_atom_site_fract_y
_atom_site_fract_z
Na1 Na 0.743 0.408 0.331
Na2 Na 0.008 0.924 0.095
Na3 Na 0.514 0.870 0.155
Na4 Na 0.485 0.003 0.645
Na5 Na 0.309 0.330 0.707
Na6 Na 0.255 0.487 0.224
Te1 Te 0.940 0.990 0.724
Te2 Te 0.840 0.469 0.803
Se1 Se 0.882 0.180 0.190
Se2 Se 0.881 0.766 0.331
# Space-group type = P1 (1)
# Polymorph energy (0 for the lowest one) = 0.000 eV/atom
# Calculated total energy = -2.9661 eV/atom
# ΔE_f (raw) = -0.85 eV/atom